1.
## AgHg3 (PBE)

Data for a geometry-optimized AgHg3 structure.

Results
Its space group is Pm-3m, No. 221. Its energy of formation from the pure elements is 126 meV/atom.

Unit cell a=5.5797 b=5.5797 c=5.5797 alpha=90.00 beta=90.00 gamma=90.00
Sites, in units of the cell vectors:
1 Ag 0.0000 0.0000 0.0000
2 Hg 0.0000 0.0000 0.5000
3 Hg 0.0000 0.5000 0.0000
4 Hg 0.5000 0.0000 0.0000

---

2.
## BeCSe2Br (PBE)

Data for a geometry-optimized BeCSe2Br structure.

Results
Its space group is P4/mmm, No. 123. Its formation energy (no corrections) is 1.39 eV/atom.

Unit cell a=4.3817 b=4.3817 c=4.6665 alpha=90.00 beta=90.00 gamma=90.00
Sites, in units of the cell vectors:
1 Be 0.0000 0.0000 0.0000
2 C 0.5000 0.5000 0.5000
3 Se 0.0000 0.5000 0.5000
4 Se 0.5000 0.0000 0.5000
5 Br 0.5000 0.5000 0.0000

---

3.
## ZrAl4Cl (PBE)

Data for a geometry-optimized ZrAl4Cl structure.

Results
Its space group is F-43m, No. 216. Its formation energy (no corrections) is -0.14 eV/atom.

Unit cell a=5.4007 b=5.4007 c=5.4007 alpha=60.00 beta=60.00 gamma=60.00
Sites, in units of the cell vectors:
1 Zr 0.0000 0.0000 0.0000
2 Al 0.1218 0.6261 0.6261
3 Al 0.6261 0.1218 0.6261
4 Al 0.6261 0.6261 0.1218
5 Al 0.6261 0.6261 0.6261
6 Cl 0.2500 0.2500 0.2500

---

| no. | mass density (g cm⁻³) | M_tot (μB per formula unit) |
| --- | --- | --- |
| 1 | 6.8 | 0.00 |
| 2 | 4.8 | 0.00 |
| 3 | 3.5 | 0.00 |